First-principles (PBE) data for an optimized crystal structure of Mn2NiP, as listed in Alexandria.

VASP energy ... -7.521 eV per atom
V ... 44.03 Å³ per cell
ΔE_f ... -3.2 kcal/mol of atoms
Total magnetization ... 1.98 μB/f.u.

The structure in POSCAR format:
```
Mn2NiP
1.0
-1.376 1.996 4.007
1.376 -1.996 4.007
1.376 1.996 -4.007
Mn Ni P
2 1 1
Cartesian
0.000 0.000 1.777
0.000 0.000 6.237
0.000 1.996 0.000
1.376 0.000 0.000
```